Entry 1:
Below is a geometry-optimized RbVP2Se8 structure, with properties calculated at the PBE level.

Structure (CIF):
```
data_RbVP2Se8
_symmetry_space_group_name_H-M 'P 1'
_symmetry_Int_Tables_number 1
_cell_length_a 6.264
_cell_length_b 6.264
_cell_length_c 10.852
_cell_angle_alpha 73.23
_cell_angle_beta 73.23
_cell_angle_gamma 60.00
loop_
_symmetry_equiv_pos_as_xyz
'x,y,z'
loop_
_atom_site_label
_atom_site_fract_x
_atom_site_fract_y
_atom_site_fract_z
_atom_site_occupancy
Rb1 0.500 0.500 0.500 1
V1 0.000 0.000 0.000 1
P1 0.266 0.266 0.201 1
P2 0.734 0.734 0.799 1
Se1 0.196 0.196 0.412 1
Se2 0.637 0.290 0.135 1
Se3 0.804 0.804 0.588 1
Se4 0.937 0.637 0.135 1
Se5 0.063 0.363 0.865 1
Se6 0.290 0.937 0.135 1
Se7 0.710 0.063 0.865 1
Se8 0.363 0.710 0.865 1
```

## Properties
N(E_F): 1.98 states/eV/f.u.
Formation energy (no corrections): -316 meV per atom
Energy: -4.381 eV/atom


Entry 2:
Below is a geometry-optimized Ac5Pr2Sm6 structure, with properties calculated at the PBE level.

Structure (CIF):
```
data_Ac5Pr2Sm6
_symmetry_space_group_name_H-M 'P 1'
_symmetry_Int_Tables_number 1
_cell_length_a 3.805
_cell_length_b 11.816
_cell_length_c 22.669
_cell_angle_alpha 90.00
_cell_angle_beta 90.00
_cell_angle_gamma 90.00
loop_
_symmetry_equiv_pos_as_xyz
'x,y,z'
loop_
_atom_site_label
_atom_site_fract_x
_atom_site_fract_y
_atom_site_fract_z
_atom_site_occupancy
Ac1 0.500 0.356 0.453 1
Ac2 0.500 0.644 0.547 1
Ac3 0.500 0.856 0.047 1
Ac4 0.500 0.144 0.953 1
Ac5 0.500 0.628 0.259 1
Ac6 0.500 0.372 0.741 1
Ac7 0.500 0.128 0.241 1
Ac8 0.500 0.872 0.759 1
Ac9 0.500 0.500 0.000 1
Ac10 0.500 0.000 0.500 1
Pr1 0.000 0.376 0.300 1
Pr2 0.000 0.624 0.700 1
Pr3 0.000 0.876 0.200 1
Pr4 0.000 0.124 0.800 1
Sm1 0.000 0.123 0.378 1
Sm2 0.000 0.877 0.622 1
Sm3 0.000 0.623 0.122 1
Sm4 0.000 0.377 0.878 1
Sm5 0.500 0.377 0.155 1
Sm6 0.500 0.623 0.845 1
Sm7 0.500 0.877 0.345 1
Sm8 0.500 0.123 0.655 1
Sm9 0.000 0.631 0.402 1
Sm10 0.000 0.369 0.598 1
Sm11 0.000 0.131 0.098 1
Sm12 0.000 0.869 0.902 1
```

## Properties
N(E_F): 19.15 states/eV/f.u.
Calculated formation energy: 136 kJ/mol of formula units
Energy: -4.385 eV/atom


Entry 3:
Below is a geometry-optimized PrY2Ho2Er2 structure, with properties calculated at the PBE level.

Structure (CIF):
```
data_PrY2Ho2Er2
_symmetry_space_group_name_H-M 'P 1'
_symmetry_Int_Tables_number 1
_cell_length_a 3.489
_cell_length_b 12.151
_cell_length_c 11.782
_cell_angle_alpha 151.00
_cell_angle_beta 90.00
_cell_angle_gamma 98.26
loop_
_symmetry_equiv_pos_as_xyz
'x,y,z'
loop_
_atom_site_label
_atom_site_fract_x
_atom_site_fract_y
_atom_site_fract_z
_atom_site_occupancy
Pr1 0.000 0.000 0.500 1
Y1 0.407 0.814 0.588 1
Y2 0.593 0.186 0.412 1
Ho1 0.704 0.408 0.039 1
Ho2 0.296 0.592 0.961 1
Er1 0.655 0.311 0.238 1
Er2 0.345 0.689 0.762 1
```

## Properties
N(E_F): 13.13 states/eV/f.u.
Calculated formation energy: 108 kJ/mol of formula units
Energy: -4.981 eV/atom